Entry 1:
Material: KFeN2O
Method: DFT, GGA+U
State: optimized geometry

Properties
Its symmetry is P4/mmm, No. 123. For the electronic total energy, the calculation gives -3.23 eV per atom.

a b c (Å): 4.8214 4.8214 4.5858
angles (deg): 90.00 90.00 90.00
Fractional positions:
K 0.0000 0.0000 0.0000
Fe 0.5000 0.5000 0.5000
N 0.0000 0.5000 0.0000
N 0.5000 0.0000 0.0000
O 0.0000 0.0000 0.5000



Entry 2:
Material: KFeN2O
Method: DFT, GGA+U
State: optimized geometry

Properties
Its symmetry is P4/mmm, No. 123. For the electronic total energy, the calculation gives -5.08 eV per atom.

a b c (Å): 4.0803 4.0803 3.9419
angles (deg): 90.00 90.00 90.00
Fractional positions:
K 0.0000 0.0000 0.0000
Fe 0.5000 0.5000 0.5000
N 0.0000 0.5000 0.5000
N 0.5000 0.0000 0.5000
O 0.5000 0.5000 0.0000



The following density of states at the Fermi level values (in states/eV per cell) correspond, in order, to the records above: 3.53; 1.37.